[1]
A geometry-optimized ScCdTe2O8 structure. Source: Alexandria via LeMat-Bulk, functional PBE.

Properties
Total energy ... -5.90 eV/atom
Energy relative to the elements, uncorrected ... -17.62 eV per formula unit

```
data_ScCdTe2O8
_chemical_formula_sum 'Sc1 Cd1 Te2 O8'
_cell_length_a 4.927
_cell_length_b 4.928
_cell_length_c 6.522
_cell_angle_alpha 90.00
_cell_angle_beta 90.00
_cell_angle_gamma 86.58
_space_group_name_H-M_alt 'P 1'
_space_group_IT_number 1
loop_
_space_group_symop_operation_xyz
'x,y,z'
loop_
_atom_site_label
_atom_site_type_symbol
_atom_site_fract_x
_atom_site_fract_y
_atom_site_fract_z
O1 O 0.789 0.211 0.233
O2 O 0.326 0.326 0.500
O3 O 0.211 0.789 0.233
O4 O 0.316 0.316 0.000
O5 O 0.789 0.211 0.767
O6 O 0.674 0.674 0.500
O7 O 0.684 0.684 0.000
O8 O 0.211 0.789 0.767
Te1 Te 0.500 0.500 0.248
Te2 Te 0.500 0.500 0.752
Sc1 Sc 0.000 0.000 0.000
Cd1 Cd 0.000 0.000 0.500
```

[2]
A geometry-optimized Nd3Sm4Hg4 structure. Source: Alexandria via LeMat-Bulk, functional PBE.

Properties
Total energy ... -3.38 eV/atom
Formation enthalpy at 0 K ... -251 meV/atom

```
data_Nd3Sm4Hg4
_chemical_formula_sum 'Nd3 Sm4 Hg4'
_cell_length_a 4.869
_cell_length_b 8.371
_cell_length_c 9.638
_cell_angle_alpha 115.74
_cell_angle_beta 104.63
_cell_angle_gamma 90.00
_space_group_name_H-M_alt 'P 1'
_space_group_IT_number 1
loop_
_space_group_symop_operation_xyz
'x,y,z'
loop_
_atom_site_label
_atom_site_type_symbol
_atom_site_fract_x
_atom_site_fract_y
_atom_site_fract_z
Nd1 Nd 0.889 0.889 0.778
Nd2 Nd 0.000 0.500 0.000
Nd3 Nd 0.111 0.111 0.222
Hg1 Hg 0.500 0.816 0.000
Hg2 Hg 0.500 0.184 0.000
Hg3 Hg 0.778 0.278 0.556
Hg4 Hg 0.222 0.722 0.444
Sm1 Sm 0.670 0.466 0.340
Sm2 Sm 0.330 0.534 0.660
Sm3 Sm 0.330 0.125 0.660
Sm4 Sm 0.670 0.875 0.340
```